Entry 1:
IrPt2Rh PBE-GGA relaxed; DFT formation energy = -0.023 eV/atom; VASP energy = -0.5216 Ry per atom; symmetry = R3m, No. 160; M_tot = 0.00 μB/cell
1.0
9.2275 0.0059 0.0034
8.8128 2.7350 0.0034
8.8128 1.3389 2.3849
Ir Rh Pt
1 1 2
Direct
0.7526 0.7526 0.7526
0.4973 0.4973 0.4973
0.0021 0.0021 0.0021
0.2481 0.2481 0.2481

Entry 2:
IrPt3Rh PBE-GGA relaxed; DFT formation energy = 0.288 eV/atom; VASP energy = -0.4835 Ry per atom; symmetry = Pnma, No. 62; M_tot = 0.00 μB/cell
1.0
5.9247 0.0000 0.0000
0.0000 7.4899 0.0000
0.0000 0.0000 7.3140
Ir Pt Rh
4 12 4
Direct
0.0000 0.5000 0.0000
0.5000 0.0000 0.5000
0.5000 0.0000 0.0000
0.0000 0.5000 0.5000
0.8768 0.1721 0.0595
0.6232 0.6721 0.5595
0.6232 0.6721 0.9405
0.1232 0.8279 0.5595
0.1232 0.8279 0.9405
0.3768 0.3279 0.4405
0.3768 0.3279 0.0595
0.8768 0.1721 0.4405
0.2196 0.1428 0.7500
0.2804 0.6428 0.2500
0.7804 0.8572 0.2500
0.7196 0.3572 0.7500
0.2905 0.5193 0.7500
0.2095 0.0193 0.2500
0.7095 0.4807 0.2500
0.7905 0.9807 0.7500

Entry 3:
Ir4PtRh PBE-GGA relaxed; DFT formation energy = 0.612 eV/atom; VASP energy = -0.5533 Ry per atom; symmetry = F-43m, No. 216; M_tot = 1.71 μB/cell
1.0
0.1101 3.4621 3.7919
-4.3184 1.2002 2.5076
-0.6445 -1.5026 4.8686
Ir Pt Rh
4 1 1
Direct
0.8753 0.3749 0.3749
0.3749 0.3749 0.8753
0.3749 0.8753 0.3749
0.3749 0.3749 0.3749
0.7500 0.7500 0.7500
0.0000 0.0000 0.0000

Entry 4:
IrPt4Rh6 PBE-GGA relaxed; DFT formation energy = 0.281 eV/atom; VASP energy = -0.4947 Ry per atom; symmetry = Cmcm, No. 63; M_tot = 0.00 μB/cell
1.0
-1.5032 -2.2179 3.5789
-2.4295 -0.2422 -3.9629
10.1120 -15.3437 -5.2616
Ir Pt Rh
2 8 12
Direct
0.5736 0.1473 0.2500
0.4264 0.8527 0.7500
0.8365 0.6730 0.5217
0.3836 0.7672 0.1300
0.1635 0.3270 0.4783
0.6164 0.2328 0.8700
0.8365 0.6730 0.9783
0.1635 0.3270 0.0217
0.6164 0.2328 0.6300
0.3836 0.7672 0.3700
0.5000 0.0000 0.0000
0.5000 0.0000 0.5000
0.0387 0.0775 0.3459
0.9613 0.9225 0.6541
0.9613 0.9225 0.8459
0.0387 0.0775 0.1541
0.7094 0.4187 0.3869
0.2906 0.5813 0.6131
0.2906 0.5813 0.8869
0.7094 0.4187 0.1131
0.2542 0.5083 0.2500
0.7458 0.4917 0.7500

Entry 5:
Ir2PtRh PBE-GGA relaxed; DFT formation energy = 0.031 eV/atom; VASP energy = -0.5694 Ry per atom; symmetry = C2/m, No. 12; M_tot = 0.00 μB/cell
1.0
4.7657 -0.0020 -0.0046
3.9714 2.6344 -0.0046
0.7916 0.2385 4.6822
Ir Rh Pt
2 1 1
Direct
0.9981 0.9981 0.0036
0.5019 0.5019 0.4964
0.2500 0.2500 0.2500
0.7500 0.7500 0.7500

Entry 6:
IrPt2Rh PBE-GGA relaxed; DFT formation energy = 0.038 eV/atom; VASP energy = -0.5171 Ry per atom; symmetry = P2/m, No. 10; M_tot = 0.00 μB/cell
1.0
2.7774 0.0000 0.0000
0.0000 4.7885 0.0025
0.0000 3.1949 4.5119
Ir Rh Pt
1 1 2
Direct
0.0000 0.0000 0.5000
0.5000 0.5000 0.5000
0.0000 0.0000 0.0000
0.5000 0.5000 0.0000

Entry 7:
Ir6PtRh3 PBE-GGA relaxed; DFT formation energy = 0.122 eV/atom; VASP energy = -0.5883 Ry per atom; symmetry = P2_1/m, No. 11; M_tot = 0.00 μB/cell
1.0
-1.8367 1.9188 -0.6105
-6.5177 -7.1246 -2.7841
-2.3902 1.1146 10.6939
Ir Pt Rh
12 2 6
Direct
0.7500 0.5003 0.6939
0.2500 0.4997 0.3061
0.7500 0.8059 0.0687
0.2500 0.1941 0.9313
0.7500 0.3434 0.1236
0.2500 0.6566 0.8764
0.7500 0.7281 0.2993
0.2500 0.2719 0.7007
0.7500 0.1324 0.4864
0.2500 0.8676 0.5136
0.7500 0.7743 0.7138
0.2500 0.2257 0.2862
0.7500 0.0398 0.7137
0.2500 0.9602 0.2863
0.7500 0.4173 0.9030
0.2500 0.5827 0.0970
0.7500 0.6215 0.5017
0.2500 0.3785 0.4983
0.7500 0.0730 0.0972
0.2500 0.9270 0.9028

Entry 8:
IrPt2Rh PBE-GGA relaxed; DFT formation energy = 0.041 eV/atom; VASP energy = -0.5169 Ry per atom; symmetry = C2/m, No. 12; M_tot = 0.00 μB/cell
1.0
4.7789 0.0058 -0.0028
3.9716 2.6579 -0.0028
0.8057 0.2453 4.7313
Ir Rh Pt
1 1 2
Direct
0.2500 0.2500 0.2500
0.7500 0.7500 0.7500
0.9979 0.9979 0.0019
0.5021 0.5021 0.4981

> What is the M_tot in the fourth record?

0.00 μB/cell